Computed, not measured: a crystal of HfZrO4 relaxed with PBEsol at the SCAN level of DFT.

- energy relative to the elements, uncorrected (eV/atom) = -3.7758
- spin magnetization (μB per cell) = 0.00
- energy (eV/atom) = -23.49
- density of states at the Fermi level (states/eV/f.u.) = 0.00

Unit cell a=6.8274 b=6.8417 c=3.2198 alpha=90.00 beta=90.00 gamma=90.00
Space group Cmmm (No. 65)
Inequivalent atoms, fractional coordinates:
Hf 0.0000 0.0000 0.0000
Zr 0.0000 0.5000 0.5000
O 0.0000 0.1930 0.5000
O 0.1962 0.5000 0.0000